Entry 1:
VASP calculation (PBE-GGA) on crystalline CaPm2Nd4 at its relaxed geometry.

POSCAR file:
```
CaPm2Nd4
1.0
1.8438 1.0645 21.2689
-1.8438 1.0645 21.2689
0.0000 -2.1290 21.2689
Ca Pm Nd
1 2 4
direct
0.0000 0.0000 0.0000
0.4294 0.4294 0.4294
0.5706 0.5706 0.5706
0.1432 0.1432 0.1432
0.2830 0.2830 0.2830
0.7170 0.7170 0.7170
0.8568 0.8568 0.8568
```

Space-group type: No. 166
Fermi-level density of states, states/eV/cell: 10.170
Total energy, eV per atom: -4.34
V, Å³/f.u.: 250.47
Formation energy, eV per atom: 0.023

Entry 2:
VASP calculation (PBE-GGA) on crystalline CaPm3Nd4 at its relaxed geometry.

POSCAR file:
```
CaPm3Nd4
1.0
13.1714 -2.9162 0.0000
13.1714 2.9162 0.0000
-0.0062 0.0000 3.7348
Ca Pm Nd
1 3 4
direct
0.0000 0.0000 0.0000
0.3512 0.3512 0.9999
0.5000 0.5000 0.5000
0.6488 0.6488 0.0001
0.1039 0.1039 0.5010
0.2239 0.2239 0.5004
0.7761 0.7761 0.4996
0.8961 0.8961 0.4990
```

Space-group type: No. 12
Fermi-level density of states, states/eV/cell: 12.946
Total energy, eV per atom: -4.21
V, Å³/f.u.: 286.91
Formation energy, eV per atom: 0.209

Entry 3:
VASP calculation (PBE-GGA) on crystalline CaPmNd2 at its relaxed geometry.

POSCAR file:
```
CaPmNd2
1.0
5.2468 0.0000 0.0000
0.0000 5.2468 0.0000
0.0000 0.0000 5.1986
Ca Pm Nd
1 1 2
direct
0.0000 0.0000 0.0000
0.5000 0.5000 0.0000
0.0000 0.5000 0.5000
0.5000 0.0000 0.5000
```

Space-group type: No. 123
Energy relative to the lowest polymorph listed for this composition, kcal/mol of atoms: 1.018
Fermi-level density of states, states/eV/cell: 6.535
Total energy, eV per atom: -3.99
V, Å³/f.u.: 143.11
Formation energy, eV per atom: 0.080

Entry 4:
VASP calculation (PBE-GGA) on crystalline CaPm3Nd3 at its relaxed geometry.

POSCAR file:
```
CaPm3Nd3
1.0
4.4140 2.5484 7.6710
-4.4140 2.5484 7.6710
0.0000 -5.0969 7.6710
Ca Pm Nd
2 6 6
direct
0.1551 0.1551 0.1551
0.8449 0.8449 0.8449
0.0730 0.2278 0.5671
0.2278 0.5671 0.0730
0.4329 0.9270 0.7722
0.5671 0.0730 0.2278
0.7722 0.4329 0.9270
0.9270 0.7722 0.4329
0.2108 0.4362 0.6738
0.3262 0.7892 0.5638
0.4362 0.6738 0.2108
0.5638 0.3262 0.7892
0.6738 0.2108 0.4362
0.7892 0.5638 0.3262
```

Space-group type: No. 148
Fermi-level density of states, states/eV/cell: 21.779
Total energy, eV per atom: -4.15
V, Å³/f.u.: 258.88
Formation energy, eV per atom: 0.220

Entry 5:
VASP calculation (PBE-GGA) on crystalline CaPm2Nd8 at its relaxed geometry.

POSCAR file:
```
CaPm2Nd8
1.0
9.4005 -2.6115 0.0000
9.4005 2.6115 0.0000
-2.1678 0.0000 7.9676
Ca Pm Nd
1 2 8
direct
0.0000 0.0000 0.0000
0.2730 0.2730 0.3628
0.7270 0.7270 0.6372
0.0921 0.0921 0.4604
0.1840 0.1840 0.9093
0.3598 0.3598 0.8114
0.4534 0.4534 0.2806
0.5466 0.5466 0.7194
0.6402 0.6402 0.1886
0.8160 0.8160 0.0907
0.9079 0.9079 0.5396
```

Space-group type: No. 12
Fermi-level density of states, states/eV/cell: 16.611
Total energy, eV per atom: -4.49
V, Å³/f.u.: 391.20
Formation energy, eV per atom: 0.028

Entry 6:
VASP calculation (PBE-GGA) on crystalline CaPmNd2 at its relaxed geometry.

POSCAR file:
```
CaPmNd2
1.0
1.8158 1.0484 12.9506
-1.8158 1.0484 12.9506
0.0000 -2.0968 12.9506
Ca Pm Nd
1 1 2
direct
0.0000 0.0000 0.0000
0.5000 0.5000 0.5000
0.0909 0.0909 0.0909
0.9091 0.9091 0.9091
```

Space-group type: No. 166
Energy relative to the lowest polymorph listed for this composition, kcal/mol of atoms: 2.083
Fermi-level density of states, states/eV/cell: 5.233
Total energy, eV per atom: -3.95
V, Å³/f.u.: 147.92
Formation energy, eV per atom: 0.126

Entry 7:
VASP calculation (PBE-GGA) on crystalline Ca2Pm4Nd at its relaxed geometry.

POSCAR file:
```
Ca2Pm4Nd
1.0
-2.8708 2.8708 8.9789
2.8708 -2.8708 8.9789
2.8708 2.8708 -8.9789
Ca Pm Nd
2 4 1
direct
0.1272 0.1272 0.0000
0.8728 0.8728 0.0000
0.0000 0.5000 0.5000
0.3272 0.3272 0.0000
0.5000 0.0000 0.5000
0.6728 0.6728 0.0000
0.5000 0.5000 0.0000
```

Space-group type: No. 139
Energy relative to the lowest polymorph listed for this composition, kcal/mol of atoms: 10.664
Fermi-level density of states, states/eV/cell: 12.268
Total energy, eV per atom: -3.38
V, Å³/f.u.: 296.00
Formation energy, eV per atom: 0.584

Entry 8:
VASP calculation (PBE-GGA) on crystalline CaPm4Nd at its relaxed geometry.

POSCAR file:
```
CaPm4Nd
1.0
6.1272 -1.8326 0.0000
6.1272 1.8326 0.0000
-4.4672 0.0000 9.4606
Ca Pm Nd
1 4 1
direct
0.0000 0.0000 0.0000
0.3322 0.3322 0.1735
0.3318 0.3318 0.6601
0.6682 0.6682 0.3399
0.6678 0.6678 0.8265
0.0000 0.0000 0.5000
```

Space-group type: No. 12
Energy relative to the lowest polymorph listed for this composition, kcal/mol of atoms: 0.178
Fermi-level density of states, states/eV/cell: 9.218
Total energy, eV per atom: -4.25
V, Å³/f.u.: 212.46
Formation energy, eV per atom: 0.047

Entry 9:
VASP calculation (PBE-GGA) on crystalline Ca2Pm2Nd7 at its relaxed geometry.

POSCAR file:
```
Ca2Pm2Nd7
1.0
5.5265 -4.4452 0.0000
5.5265 4.4452 0.0000
-2.1011 0.0000 8.2050
Ca Pm Nd
2 2 7
direct
0.0544 0.0544 0.3190
0.9456 0.9456 0.6810
0.2831 0.7169 0.0000
0.7169 0.2831 0.0000
0.0313 0.4219 0.6856
0.2462 0.2462 0.0609
0.4219 0.0313 0.6856
0.5000 0.5000 0.5000
0.5781 0.9687 0.3144
0.7538 0.7538 0.9391
0.9687 0.5781 0.3144
```

Space-group type: No. 12
Fermi-level density of states, states/eV/cell: 15.415
Total energy, eV per atom: -4.06
V, Å³/f.u.: 403.13
Formation energy, eV per atom: 0.205

Entry 10:
VASP calculation (PBE-GGA) on crystalline CaPm6Nd3 at its relaxed geometry.

POSCAR file:
```
CaPm6Nd3
1.0
5.9007 -3.4165 0.0000
5.9007 3.4165 0.0000
-3.3093 0.0000 8.9087
Ca Pm Nd
1 6 3
direct
0.0000 0.0000 0.0000
0.0574 0.5595 0.6909
0.3675 0.3675 0.0805
0.4405 0.9426 0.3091
0.5595 0.0574 0.6909
0.6325 0.6325 0.9195
0.9426 0.4405 0.3091
0.0694 0.0694 0.6788
0.5000 0.5000 0.5000
0.9306 0.9306 0.3212
```

Space-group type: No. 12
Fermi-level density of states, states/eV/cell: 18.232
Total energy, eV per atom: -4.25
V, Å³/f.u.: 359.20
Formation energy, eV per atom: 0.228

Entry 11:
VASP calculation (PBE-GGA) on crystalline Ca2Pm5Nd at its relaxed geometry.

POSCAR file:
```
Ca2Pm5Nd
1.0
-2.6118 2.6118 10.5751
2.6118 -2.6118 10.5751
2.6118 2.6118 -10.5751
Ca Pm Nd
2 5 1
direct
0.2500 0.2500 0.0000
0.7500 0.7500 0.0000
0.0000 0.0000 0.0000
0.1177 0.6177 0.5000
0.3823 0.8823 0.5000
0.6177 0.1177 0.5000
0.8823 0.3823 0.5000
0.5000 0.5000 0.0000
```

Space-group type: No. 139
Fermi-level density of states, states/eV/cell: 11.952
Total energy, eV per atom: -4.02
V, Å³/f.u.: 288.56
Formation energy, eV per atom: 0.049

Entry 12:
VASP calculation (PBE-GGA) on crystalline CaPm4Nd7 at its relaxed geometry.

POSCAR file:
```
CaPm4Nd7
1.0
6.1659 -3.0965 0.0000
6.1659 3.0965 0.0000
-6.1500 0.0000 11.4000
Ca Pm Nd
1 4 7
direct
0.0000 0.0000 0.0000
0.1389 0.1389 0.7768
0.4344 0.4344 0.6776
0.5656 0.5656 0.3224
0.8611 0.8611 0.2232
0.1296 0.1296 0.4995
0.2672 0.2672 0.3265
0.2946 0.2946 0.0788
0.5000 0.5000 0.0000
0.7054 0.7054 0.9212
0.7328 0.7328 0.6735
0.8704 0.8704 0.5005
```

Space-group type: No. 12
Energy relative to the lowest polymorph listed for this composition, kcal/mol of atoms: 5.269
Fermi-level density of states, states/eV/cell: 18.816
Total energy, eV per atom: -4.28
V, Å³/f.u.: 435.32
Formation energy, eV per atom: 0.255